The following is a PBE calculation of an optimized crystal structure of TlGe2SF, from the Alexandria database.

Cell: 5.3571 4.4270 5.3571 Å, 90.00 90.00 90.00°
Positions (direct):
Ge  0.5000  0.0000  0.0000
Ge  0.0000  0.0000  0.5000
F  0.0000  0.5000  0.0000
S  0.5000  0.5000  0.5000
Tl  0.0000  0.0000  0.0000

Values from the calculation:
- Formation energy without anion corrections: 0.220 eV per atom